Material: AgAsNO
Method: DFT, PBE
State: optimized geometry

Lattice parameters (Å, degrees): 3.0420 5.9840 6.1755 90.00 90.00 90.00
With the nearest neighbours (Å) after each atom.
Positions (direct):
Ag: 0.0000 0.5201 0.3960  2 N 2.21-2.25
Ag: 0.0000 0.0201 0.6040  2 N 2.21-2.25
As: 0.5000 0.9968 0.1395  1 O 1.78, 2 N 1.88
As: 0.5000 0.4968 0.8605  1 O 1.78, 2 N 1.88
N: 0.0000 0.8739 0.2749  2 As 1.88
N: 0.0000 0.3739 0.7251  2 As 1.88
O: 0.5000 0.3632 0.1172  1 As 1.78
O: 0.5000 0.8632 0.8828  1 As 1.78

## Properties
- Energy relative to the lowest polymorph listed for this composition: 2.8 kJ per mole of atoms
- E_tot: -5.08 eV/atom



Material: AgAsNO
Method: DFT, PBE
State: optimized geometry

Lattice parameters (Å, degrees): 3.7716 3.7716 7.2271 90.00 90.00 90.00
With the nearest neighbours (Å) after each atom.
Positions (direct):
Ag: 0.7500 0.2500 0.5000  4 N 2.31
Ag: 0.2500 0.7500 0.5000  4 N 2.31
As: 0.2500 0.2500 0.1364  4 O 2.13
As: 0.7500 0.7500 0.8636  4 O 2.13
N: 0.7500 0.7500 0.3163  4 Ag 2.31
N: 0.2500 0.2500 0.6837  4 Ag 2.31
O: 0.7500 0.2500 0.0000  4 As 2.13
O: 0.2500 0.7500 0.0000  4 As 2.13

## Properties
- Energy relative to the lowest polymorph listed for this composition: 63.6 kJ per mole of atoms
- E_tot: -4.45 eV/atom



Material: NaAgAs
Method: DFT, PBE
State: optimized geometry

Lattice parameters (Å, degrees): 4.5557 4.5557 4.5557 60.00 60.00 60.00
With the nearest neighbours (Å) after each atom.
Positions (direct):
Ag: 0.2500 0.2500 0.2500  4 As 2.79
As: 0.0000 0.0000 0.0000  4 Ag 2.79, 4 Na 2.79
Na: 0.7500 0.7500 0.7500  4 As 2.79

## Properties
- Energy relative to the lowest polymorph listed for this composition: 0.0 kJ per mole of atoms
- E_tot: -2.99 eV/atom



Material: Na2AgAs
Method: DFT, PBE
State: optimized geometry

Lattice parameters (Å, degrees): 5.6127 5.7118 5.7118 79.91 90.00 90.00
With the nearest neighbours (Å) after each atom.
Positions (direct):
Ag: 0.5000 0.4998 0.4998  2 As 2.56, 2 Ag 2.81
Ag: 0.0000 0.5002 0.5002  2 As 2.56, 2 Ag 2.81
As: 0.7500 0.7919 0.2081  2 Ag 2.56
As: 0.2500 0.2081 0.7919  2 Ag 2.56
Na: 0.7464 0.3266 0.0309  4 As 3.01-3.26, 1 Na 3.13, 4 Ag 3.32-3.34
Na: 0.2536 0.0309 0.3266  4 As 3.01-3.26, 1 Na 3.13, 4 Ag 3.32-3.34
Na: 0.7536 0.9691 0.6734  4 As 3.01-3.26, 1 Na 3.13, 4 Ag 3.32-3.34
Na: 0.2464 0.6734 0.9691  4 As 3.01-3.26, 1 Na 3.13, 4 Ag 3.32-3.34

## Properties
- E_tot: -2.91 eV/atom